AgSb | PBE-GGA | optimized geometry

Computed properties:
SG: Amm2
DOS at the Fermi energy, states/eV/cell: 1.27
Energy relative to the elements, uncorrected, meV/atom: 142
V, A^3/atom: 23.80
Energy above the lowest structure with this stoichiometry, meV per atom: 62.4
Size of the total moment, μB per formula unit: 0.00
Energy, eV for the cell shown: -13.38

Cell: 3.2702 9.0551 3.2149 Å, 90.00 90.04 90.00°
Fractional positions:
Ag  0.5000  0.6627  0.5000
Sb  0.0000  0.4339  0.0000
Ag  0.5000  0.1627  0.0000
Sb  0.0000  0.9339  0.5000


Hg2IrPt | PBE-GGA | optimized geometry

Computed properties:
SG: P4mm
DOS at the Fermi energy, states/eV/cell: 5.16
V, A^3/atom: 18.50
Energy above the lowest structure with this stoichiometry, meV per atom: 12.7
Size of the total moment, μB per formula unit: 0.61
Energy, eV for the cell shown: -14.17
Formation energy, eV per atom: 0.333

Cell: 2.9356 2.9356 8.5869 Å, 90.00 90.00 90.00°
Fractional positions:
Hg  0.5000  0.5000  0.2779
Hg  0.0000  0.0000  0.9758
Pt  0.5000  0.5000  0.7277
Ir  0.0000  0.0000  0.5186


CsZn2SiRh | PBE-GGA | optimized geometry

Computed properties:
SG: P4/mmm
DOS at the Fermi energy, states/eV/cell: 3.31
Energy relative to the elements, uncorrected, meV/atom: 808
V, A^3/atom: 28.01
Energy above the lowest structure with this stoichiometry, meV per atom: 924.7
Size of the total moment, μB per formula unit: 1.81
Energy, eV for the cell shown: -12.14

Cell: 4.9734 4.9734 5.6612 Å, 90.00 90.00 90.00°
Fractional positions:
Cs  0.0000  0.0000  0.5000
Zn  0.0000  0.5000  0.0000
Rh  0.0000  0.0000  0.0000
Si  0.5000  0.5000  0.5000
Zn  0.5000  0.0000  0.0000


Gd2TlRu | PBE-GGA | optimized geometry

Computed properties:
SG: P4/mmm
DOS at the Fermi energy, states/eV/cell: 2.35
V, A^3/atom: 23.91
Energy above the lowest structure with this stoichiometry, meV per atom: 162.3
Size of the total moment, μB per formula unit: 14.15
Energy, eV for the cell shown: -40.64
Formation energy, eV per atom: -0.210

Cell: 3.6928 5.0896 5.0896 Å, 90.00 90.00 90.00°
Fractional positions:
Tl  0.5000  0.5000  0.5000
Ru  0.5000  0.0000  0.0000
Gd  0.0000  0.0000  0.5000
Gd  0.0000  0.5000  0.0000